Entry 1:
# PBE Tm2MnOs3, optimized geometry
data_Tm2MnOs3
_cell_length_a 5.3100
_cell_length_b 5.3100
_cell_length_c 8.5583
_cell_angle_alpha 90.00
_cell_angle_beta 90.00
_cell_angle_gamma 120.00
_space_group_name_H-M_alt 'P 63/m m c'
_space_group_IT_number 194
_space_group_name_Hall '-P 6c 2c'
loop_
_atom_site_label
_atom_site_fract_x
_atom_site_fract_y
_atom_site_fract_z
Tm1 0.3333 0.6667 0.0666
Mn1 0.0000 0.0000 0.0000
Os1 0.1697 0.3393 0.7500
# Fermi-level density of states in states/eV/f.u.: 5.4
# ΔE_f in kJ/mol of formula units: -197


Entry 2:
# PBE Ti3AlMo2, optimized geometry
data_Ti3AlMo2
_cell_length_a 3.2419
_cell_length_b 3.2419
_cell_length_c 9.2102
_cell_angle_alpha 90.00
_cell_angle_beta 90.00
_cell_angle_gamma 90.00
_space_group_name_H-M_alt 'P 4/m m m'
_space_group_IT_number 123
_space_group_name_Hall '-P 4 2'
loop_
_atom_site_label
_atom_site_fract_x
_atom_site_fract_y
_atom_site_fract_z
Ti1 0.0000 0.0000 0.0000
Ti2 0.0000 0.0000 0.3211
Al1 0.5000 0.5000 0.5000
Mo1 0.5000 0.5000 0.1727
# Fermi-level density of states in states/eV/f.u.: 7.6
# ΔE_f in kJ/mol of formula units: -137


Entry 3:
# PBE MnCuP3, optimized geometry
data_MnCuP3
_cell_length_a 4.4155
_cell_length_b 4.4155
_cell_length_c 4.4155
_cell_angle_alpha 90.00
_cell_angle_beta 90.00
_cell_angle_gamma 90.00
_space_group_name_H-M_alt 'P m -3 m'
_space_group_IT_number 221
_space_group_name_Hall '-P 4 2 3'
loop_
_atom_site_label
_atom_site_fract_x
_atom_site_fract_y
_atom_site_fract_z
Mn1 0.0000 0.0000 0.0000
Cu1 0.5000 0.5000 0.5000
P1 0.0000 0.5000 0.5000
# Fermi-level density of states in states/eV/f.u.: 5.7
# Energy above the most stable polymorph in this dataset in kJ/mol of formula units: 324.9
# ΔE_f in kJ/mol of formula units: 631


Entry 4:
# PBE Li3Cd2Pb4, optimized geometry
data_Li3Cd2Pb4
_cell_length_a 6.3068
_cell_length_b 8.2996
_cell_length_c 8.9197
_cell_angle_alpha 77.48
_cell_angle_beta 81.25
_cell_angle_gamma 80.28
_space_group_name_H-M_alt 'P -1'
_space_group_IT_number 2
_space_group_name_Hall '-P 1'
loop_
_atom_site_label
_atom_site_fract_x
_atom_site_fract_y
_atom_site_fract_z
Li1 0.0915 0.3046 0.2945
Li2 0.3254 0.6395 0.0649
Li3 0.3348 0.2763 0.6158
Cd1 0.2567 0.9575 0.5076
Cd2 0.4144 0.6167 0.7147
Pb1 0.0305 0.9509 0.1912
Pb2 0.1690 0.3545 0.9392
Pb3 0.1921 0.6076 0.4175
Pb4 0.4941 0.9314 0.8263
# Fermi-level density of states in states/eV/f.u.: 3.1
# ΔE_f in kJ/mol of formula units: -117